Run i
NaCoBrF2 | PBE with a Hubbard U | optimized geometry

```
NaCoBrF2
1.0
4.0482 0.0000 0.0000
0.0000 4.0482 0.0000
0.0000 0.0000 5.3859
Na Co Br F
1 1 1 2
Direct
0.0000 0.0000 0.0000 Na
0.5000 0.5000 0.5000 Co
0.5000 0.5000 0.0000 Br
0.0000 0.5000 0.5000 F
0.5000 0.0000 0.5000 F
```

Calculated values
- V: 88.3 Å³/cell



Run ii
NaCoBrF2 | PBE with a Hubbard U | optimized geometry

```
NaCoBrF2
1.0
6.1343 0.0000 0.0000
0.0000 3.9216 0.0000
-0.6069 0.0000 8.0853
Na Co Br F
2 2 2 4
Direct
0.2388 0.2500 0.0776 Na
0.7612 0.7500 0.9224 Na
0.0473 0.2500 0.6592 Co
0.9527 0.7500 0.3408 Co
0.4359 0.2500 0.7444 Br
0.5641 0.7500 0.2556 Br
0.0532 0.2500 0.3989 F
0.0622 0.7500 0.1245 F
0.9378 0.2500 0.8755 F
0.9468 0.7500 0.6011 F
```

Calculated values
- V: 194.5 Å³/cell



Most stable structure among those shown: run ii. Next: +5.3 kJ/mol of atoms.